(1)
A geometry-optimized HfCo2Sb2 structure, computed with PBE.

The value obtained for the energy above the most stable polymorph in this dataset is 0.000 eV per atom. Its formation energy (no corrections) is -75 meV per atom.

Cell: 6.904 6.904 3.647 Å, 90.00 90.00 90.00°
Space group P4/mbm (No. 127)
One atom of each set of equivalent atoms:
Hf  0.000  0.000  0.000 (multiplicity 2)
Co  0.122  0.378  0.000 (multiplicity 4)
Sb  0.176  0.676  0.500 (multiplicity 4)


(2)
A geometry-optimized LiIN2O structure, computed with PBE.

Its formation energy (no corrections) is 1603 meV per atom.

Cell: 3.998 3.998 3.532 Å, 90.00 90.00 90.00°
Space group P4/mmm (No. 123)
One atom of each set of equivalent atoms:
Li  0.000  0.000  0.000 (multiplicity 1)
I  0.500  0.500  0.500 (multiplicity 1)
N  0.000  0.500  0.000 (multiplicity 2)
O  0.000  0.000  0.500 (multiplicity 1)


(3)
A geometry-optimized Fe2TcTe structure, computed with PBE.

Its formation energy (no corrections) is 369 meV per atom.

Cell: 3.250 4.214 4.315 Å, 90.00 90.00 90.00°
Space group Pmmm (No. 47)
One atom of each set of equivalent atoms:
Fe  0.000  0.000  0.000 (multiplicity 1)
Fe  0.500  0.000  0.500 (multiplicity 1)
Tc  0.000  0.500  0.500 (multiplicity 1)
Te  0.500  0.500  0.000 (multiplicity 1)


(4)
A geometry-optimized EuGdBiPb structure, computed with PBE.

The energy relative to the elements comes out at -12.8 kcal/mol of atoms.

Cell: 7.950 7.950 7.950 Å, 90.00 90.00 90.00°
Space group F-43m (No. 216)
One atom of each set of equivalent atoms:
Eu  0.000  0.000  0.000 (multiplicity 4)
Gd  0.000  0.000  0.500 (multiplicity 4)
Bi  0.250  0.250  0.250 (multiplicity 4)
Pb  0.250  0.250  0.750 (multiplicity 4)


(5)
A geometry-optimized La3HoTm2Te6 structure, computed with PBE.

Its formation energy (no corrections) is -1405 meV per atom.

Cell: 19.550 4.383 9.029 Å, 90.00 105.48 90.00°
Space group C2/m (No. 12)
One atom of each set of equivalent atoms:
La  0.000  0.000  0.000 (multiplicity 2)
La  0.166  0.500  0.333 (multiplicity 4)
Ho  0.000  0.000  0.500 (multiplicity 2)
Tm  0.166  0.500  0.832 (multiplicity 4)
Te  0.005  0.500  0.740 (multiplicity 4)
Te  0.163  0.000  0.596 (multiplicity 4)
Te  0.172  0.000  0.071 (multiplicity 4)


(6)
A geometry-optimized MnGeCl4 structure, computed with PBE.

Its formation energy (no corrections) is -921 meV per atom.

Cell: 16.616 3.810 13.084 Å, 90.00 128.09 90.00°
Space group C2/c (No. 15)
One atom of each set of equivalent atoms:
Mn  0.250  0.250  0.000 (multiplicity 4)
Ge  0.000  0.246  0.250 (multiplicity 4)
Cl  0.070  0.249  0.932 (multiplicity 8)
Cl  0.195  0.249  0.337 (multiplicity 8)


(7)
A geometry-optimized KCdO2F structure, computed with PBE.

Its formation energy (no corrections) is -1009 meV per atom.

Cell: 4.248 4.248 4.705 Å, 90.00 90.00 90.00°
Space group P4/mmm (No. 123)
One atom of each set of equivalent atoms:
K  0.000  0.000  0.000 (multiplicity 1)
Cd  0.500  0.500  0.500 (multiplicity 1)
O  0.000  0.500  0.500 (multiplicity 2)
F  0.500  0.500  0.000 (multiplicity 1)


(8)
A geometry-optimized NpTi2N4 structure, computed with PBE.

Its formation energy (no corrections) is -1346 meV per atom.

Cell: 3.062 9.956 10.058 Å, 90.00 90.00 90.00°
Space group Cmcm (No. 63)
One atom of each set of equivalent atoms:
Np  0.000  0.111  0.250 (multiplicity 4)
Ti  0.000  0.368  0.061 (multiplicity 8)
N  0.000  0.000  0.000 (multiplicity 4)
N  0.000  0.269  0.616 (multiplicity 8)
N  0.000  0.452  0.250 (multiplicity 4)


(9)
A geometry-optimized CsV3Tc structure, computed with PBE.

The value obtained for the energy above the most stable polymorph in this dataset is 0.000 eV per atom. The energy relative to the elements comes out at 30.5 kcal/mol of atoms.

Cell: 4.959 4.959 4.959 Å, 90.00 90.00 90.00°
Space group Pm-3m (No. 221)
One atom of each set of equivalent atoms:
Cs  0.000  0.000  0.000 (multiplicity 1)
V  0.000  0.500  0.500 (multiplicity 3)
Tc  0.500  0.500  0.500 (multiplicity 1)


(10)
A geometry-optimized SrTlGa2 structure, computed with PBE.

The value obtained for the energy above the most stable polymorph in this dataset is 0.104 eV per atom. The energy relative to the elements comes out at -2.0 kcal/mol of atoms.

Cell: 4.915 4.915 20.197 Å, 90.00 90.00 90.00°
Space group I-42d (No. 122)
One atom of each set of equivalent atoms:
Sr  0.000  0.000  0.000 (multiplicity 4)
Tl  0.000  0.000  0.500 (multiplicity 4)
Ga  0.103  0.250  0.625 (multiplicity 8)


(11)
A geometry-optimized HgPtSe2 structure, computed with PBE.

The value obtained for the energy above the most stable polymorph in this dataset is 0.000 eV per atom. Its formation energy (no corrections) is -293 meV per atom.

Cell: 3.746 3.747 9.126 Å, 101.41 90.41 119.99°
Space group P1 (No. 1)
One atom of each set of equivalent atoms:
Hg  0.000  0.000  0.000 (multiplicity 1)
Pt  0.167  0.347  0.506 (multiplicity 1)
Se  0.551  0.111  0.654 (multiplicity 1)
Se  0.783  0.584  0.358 (multiplicity 1)


(12)
A geometry-optimized ErTiCu4 structure, computed with PBE.

The energy relative to the elements comes out at -1.4 kcal/mol of atoms.

Cell: 7.160 7.160 7.160 Å, 90.00 90.00 90.00°
Space group F-43m (No. 216)
One atom of each set of equivalent atoms:
Er  0.000  0.000  0.000 (multiplicity 4)
Ti  0.250  0.250  0.750 (multiplicity 4)
Cu  0.124  0.124  0.376 (multiplicity 16)